Here is a geometry-optimized Rb3Tb2TmS6 structure from Alexandria. Energies are from GGA-PBE. Values from VASP.

Cell and atoms, written as Quantum ESPRESSO input:
```
&SYSTEM
  ibrav = 0, nat = 12, ntyp = 4
/
ATOMIC_SPECIES
Rb 85.47 Rb.upf
Tb 158.93 Tb.upf
Tm 168.93 Tm.upf
S 32.06 S.upf
CELL_PARAMETERS angstrom
7.058 -0.001 0.000
-3.528 6.113 0.000
-1.177 -2.038 7.687
ATOMIC_POSITIONS angstrom
Rb -2.346 4.071 3.844
Rb 4.698 0.003 3.844
Rb 1.176 2.037 3.844
Tb 0.001 4.074 0.000
Tb 3.528 2.037 0.000
Tm 0.000 0.000 0.000
S 3.514 2.063 6.216
S 2.368 4.101 1.474
S -1.161 2.011 1.472
S 0.031 4.074 6.216
S -0.016 -0.027 6.214
S 2.322 -0.001 1.472
```

Calculated values
V, Å³/cell: 331.6
Energy, hartree per atom: -0.1949



Here is a geometry-optimized Nb3ZnMo structure from Alexandria. Energies are from GGA-PBE. Values from VASP.

Cell and atoms, written as Quantum ESPRESSO input:
```
&SYSTEM
  ibrav = 0, nat = 5, ntyp = 3
/
ATOMIC_SPECIES
Zn 65.41 Zn.upf
Mo 95.94 Mo.upf
Nb 92.91 Nb.upf
CELL_PARAMETERS angstrom
4.661 0.000 0.000
0.000 4.661 0.000
0.000 0.000 4.661
ATOMIC_POSITIONS angstrom
Zn 0.000 0.000 0.000
Mo 2.331 2.331 2.331
Nb 0.000 2.331 0.000
Nb 0.000 0.000 2.331
Nb 2.331 0.000 0.000
```

Calculated values
V, Å³/cell: 101.3
Energy relative to the lowest polymorph listed for this composition, eV per formula unit: 1.005
Energy of formation, eV per atom: 1.4447



Here is a geometry-optimized SnGe2Se3 structure from Alexandria. Energies are from GGA-PBE. Values from VASP.

Cell and atoms, written as Quantum ESPRESSO input:
```
&SYSTEM
  ibrav = 0, nat = 12, ntyp = 3
/
ATOMIC_SPECIES
Sn 118.71 Sn.upf
Ge 72.64 Ge.upf
Se 78.96 Se.upf
CELL_PARAMETERS angstrom
3.931 0.000 0.000
0.000 6.103 0.208
0.000 -1.989 13.385
ATOMIC_POSITIONS angstrom
Sn 0.983 -1.405 9.983
Sn 2.948 5.519 3.611
Ge 0.983 2.280 5.644
Ge 2.948 1.834 7.949
Ge 2.948 -0.874 12.406
Ge 0.983 4.988 1.187
Se 2.948 4.384 8.312
Se 0.983 -0.270 5.282
Se 2.948 2.745 3.999
Se 0.983 1.369 9.595
Se 0.983 1.450 0.697
Se 2.948 2.664 12.896
```

Calculated values
V, Å³/cell: 322.8
Energy relative to the lowest polymorph listed for this composition, eV per formula unit: 0.000



Here is a geometry-optimized SmAl4Pt2Au structure from Alexandria. Energies are from GGA-PBE. Values from VASP.

Cell and atoms, written as Quantum ESPRESSO input:
```
&SYSTEM
  ibrav = 0, nat = 8, ntyp = 4
/
ATOMIC_SPECIES
Sm 150.36 Sm.upf
Al 26.98 Al.upf
Pt 195.08 Pt.upf
Au 196.97 Au.upf
CELL_PARAMETERS angstrom
-1.396 1.051 3.920
1.838 -1.735 3.469
6.136 6.680 2.744
ATOMIC_POSITIONS angstrom
Sm 0.000 0.000 0.000
Al 5.040 5.017 5.149
Al 2.687 1.906 7.494
Al 3.891 4.091 2.639
Al 1.539 0.979 4.984
Pt 4.918 4.478 7.599
Pt 1.661 1.518 2.534
Au 3.289 2.998 5.067
```

Calculated values
V, Å³/cell: 145.9
Energy of formation, eV per atom: -0.7626